Compound: RbNaSr2Sc
Source: Alexandria
Functional: PBE-GGA
Structure: optimized geometry

a b c (Å): 6.591 6.591 6.294
angles (deg): 90.00 90.00 90.00
Sites, in units of the cell vectors:
Rb  0.000  0.000  0.000
Na  0.000  0.000  0.500
Sr  0.000  0.500  0.500
Sr  0.500  0.000  0.500
Sc  0.500  0.500  0.000

Results
As for the crystal system: tetragonal. Its total moment is 1.9 μB/cell. For the formation energy, the calculation gives 0.74 eV/atom.